Entry P
An optimized crystal structure of La12Tb2Ho5, computed with GGA-PBE.

Computed properties:
The calculation puts the density of states at the Fermi level at 1.63 states/eV/atom. Its space-group type is C2/m, No. 12.

Geometry as POSCAR:
```
La12Tb2Ho5
1.0
7.6357 0.0000 0.0000
-3.8178 9.1638 4.5656
0.0000 1.0678 10.0043
La Tb Ho
12 2 5
direct
0.9990 0.9979 0.2057
0.0671 0.6726 0.8356
0.6055 0.6726 0.8356
0.0890 0.6793 0.4756
0.5903 0.6793 0.4756
0.4836 0.9672 0.6770
0.5164 0.0328 0.3230
0.9110 0.3207 0.5244
0.4097 0.3207 0.5244
0.9329 0.3274 0.1644
0.3945 0.3274 0.1644
0.0010 0.0021 0.7943
0.6986 0.0000 0.0000
0.3014 0.0000 0.0000
0.1745 0.3489 0.8199
0.3210 0.6421 0.1668
0.0000 0.0000 0.5000
0.6790 0.3579 0.8332
0.8255 0.6511 0.1801
```


Entry Q
An optimized crystal structure of La12Tb2Ho5, computed with GGA-PBE.

Computed properties:
The calculation puts the density of states at the Fermi level at 1.45 states/eV/atom. Its space-group type is C2/m, No. 12.

Geometry as POSCAR:
```
La12Tb2Ho5
1.0
-8.4166 6.8116 -4.6087
3.7764 -7.4666 -2.9089
-6.2413 -7.2302 0.7118
La Tb Ho
12 2 5
direct
0.1162 0.2324 0.0551
0.0484 0.6115 0.8039
0.5631 0.6115 0.8039
0.1748 0.7849 0.4189
0.6101 0.7849 0.4189
0.4265 0.8531 0.7852
0.5735 0.1469 0.2148
0.8252 0.2151 0.5811
0.3899 0.2151 0.5811
0.9516 0.3885 0.1961
0.4369 0.3885 0.1961
0.8838 0.7676 0.9449
0.7247 0.0000 0.0000
0.2753 0.0000 0.0000
0.1942 0.3884 0.6603
0.3104 0.6207 0.2318
0.0000 0.0000 0.5000
0.6896 0.3793 0.7682
0.8058 0.6116 0.3397
```


Verdict on stability: entry Q comes out on top.


Entry P
An optimized crystal structure of La4Tb4Ho, computed with GGA-PBE.

Computed properties:
The calculation puts the density of states at the Fermi level at 1.50 states/eV/atom. Its space-group type is I4/mmm, No. 139.

Geometry as POSCAR:
```
La4Tb4Ho
1.0
5.1616 0.0000 0.0000
2.5808 7.7029 0.0000
2.5808 0.0000 7.7029
La Tb Ho
4 4 1
direct
0.6669 0.6662 0.0000
0.3331 0.3338 0.0000
0.6669 0.0000 0.6662
0.3331 0.0000 0.3338
0.6645 0.3355 0.3355
0.3355 0.6645 0.6645
0.0000 0.6645 0.3355
0.0000 0.3355 0.6645
0.0000 0.0000 0.0000
```


Entry Q
An optimized crystal structure of La4Tb4Ho, computed with GGA-PBE.

Computed properties:
The calculation puts the density of states at the Fermi level at 2.38 states/eV/atom. Its space-group type is I-42m, No. 121.

Geometry as POSCAR:
```
La4Tb4Ho
1.0
4.9268 0.0001 -2.4382
-1.2065 4.7767 -2.4382
2.6740 3.4334 11.6002
La Tb Ho
4 4 1
direct
0.5000 0.0000 0.0000
0.0000 0.5000 0.0000
0.2519 0.2519 0.5037
0.7481 0.7481 0.4963
0.6215 0.6215 0.7452
0.3785 0.8763 0.2548
0.1237 0.1237 0.7452
0.8763 0.3785 0.2548
0.0000 0.0000 0.0000
```


Verdict on stability: entry P comes out on top.